(1)
{
  "formula": "Sm4Ho3TmS8",
  "functional": "PBE-GGA",
  "state": "optimized geometry",
  "e_form_raw_ev_per_fu": -31.91,
  "dos_ef_per_ev_cell": 7.8,
  "lattice_angstrom": [[3.918, 2.262, 6.523], [-3.918, 2.262, 6.523], [0.000, -4.524, 6.523]],
  "species": ["Sm", "Sm", "Sm", "Sm", "Ho", "Ho", "Ho", "Tm", "S", "S", "S", "S", "S", "S", "S", "S"],
  "frac_coords": [[0.000, 0.000, 0.000], [0.000, 0.500, 0.500], [0.500, 0.000, 0.500], [0.500, 0.500, 0.000], [0.000, 0.000, 0.500], [0.000, 0.500, 0.000], [0.500, 0.000, 0.000], [0.500, 0.500, 0.500], [0.246, 0.246, 0.246], [0.247, 0.744, 0.744], [0.256, 0.256, 0.753], [0.256, 0.753, 0.256], [0.744, 0.247, 0.744], [0.744, 0.744, 0.247], [0.753, 0.256, 0.256], [0.754, 0.754, 0.754]]
}

(2)
{
  "formula": "KSmGeTe3",
  "functional": "PBE-GGA",
  "state": "optimized geometry",
  "e_form_raw_ev_per_fu": -5.66,
  "lattice_angstrom": [[9.233, 0.000, 0.000], [0.000, 4.341, 0.000], [-3.813, 0.000, 11.181]],
  "species": ["K", "K", "Sm", "Sm", "Ge", "Ge", "Te", "Te", "Te", "Te", "Te", "Te"],
  "frac_coords": [[0.235, 0.250, 0.283], [0.765, 0.750, 0.717], [0.362, 0.750, 0.840], [0.638, 0.250, 0.160], [0.119, 0.250, 0.553], [0.881, 0.750, 0.447], [0.099, 0.250, 0.776], [0.328, 0.750, 0.564], [0.383, 0.750, 0.109], [0.617, 0.250, 0.891], [0.672, 0.250, 0.436], [0.901, 0.750, 0.224]]
}

(3)
{
  "formula": "HoLu2Ru",
  "functional": "PBE-GGA",
  "state": "optimized geometry",
  "delta_e_f_ev_per_atom": 0.056,
  "dos_ef_per_ev_cell": 21.5,
  "lattice_angstrom": [[3.418, 0.000, 0.000], [-1.709, 2.960, 0.000], [0.000, 0.000, 31.693]],
  "species": ["Ho", "Ho", "Ho", "Lu", "Lu", "Lu", "Lu", "Lu", "Lu", "Ru", "Ru", "Ru"],
  "frac_coords": [[0.000, 0.000, 0.000], [0.333, 0.667, 0.667], [0.667, 0.333, 0.333], [0.000, 0.000, 0.107], [0.000, 0.000, 0.893], [0.333, 0.667, 0.560], [0.333, 0.667, 0.774], [0.667, 0.333, 0.226], [0.667, 0.333, 0.440], [0.000, 0.000, 0.500], [0.333, 0.667, 0.167], [0.667, 0.333, 0.833]]
}

(4)
{
  "formula": "Ba2NaAg6Pd",
  "functional": "PBE-GGA",
  "state": "optimized geometry",
  "delta_e_f_ev_per_atom": 0.082,
  "dos_ef_per_ev_cell": 3.6,
  "lattice_angstrom": [[0.000, 5.267, 5.267], [5.267, 0.000, 5.267], [5.267, 5.267, 0.000]],
  "species": ["Ba", "Ba", "Na", "Ag", "Ag", "Ag", "Ag", "Ag", "Ag", "Pd"],
  "frac_coords": [[0.250, 0.250, 0.250], [0.750, 0.750, 0.750], [0.000, 0.000, 0.000], [0.253, 0.253, 0.747], [0.253, 0.747, 0.253], [0.253, 0.747, 0.747], [0.747, 0.253, 0.253], [0.747, 0.253, 0.747], [0.747, 0.747, 0.253], [0.500, 0.500, 0.500]]
}

One value per record, in order, for spin magnetization: 0.00 0.00 0.32 0.00 Bohr magnetons per cell.
One value per record, in order, for calculated volume: 346.8 448.2 320.7 292.2 Å³/cell.